DFT (PBE) results for a geometry-optimized Dy3TlTe4 structure.

Unit cell a=4.3816 b=4.3816 c=30.8540 alpha=90.00 beta=90.00 gamma=120.00
With the nearest neighbours (Å) after each atom.
Positions (direct):
Dy 0.0000 0.0000 0.0000  6 Te 3.09
Dy 0.0000 0.0000 0.5000  6 Te 3.09
Dy 0.3333 0.6667 0.1149  6 Te 3.08-3.09
Dy 0.3333 0.6667 0.3851  6 Te 3.08-3.09
Dy 0.6667 0.3333 0.6149  6 Te 3.08-3.09
Dy 0.6667 0.3333 0.8851  6 Te 3.08-3.09
Tl 0.3333 0.6667 0.7500  6 Te 3.49
Tl 0.6667 0.3333 0.2500  6 Te 3.49
Te 0.0000 0.0000 0.1720  3 Dy 3.08
Te 0.0000 0.0000 0.3280  3 Dy 3.08
Te 0.0000 0.0000 0.6720  3 Dy 3.08
Te 0.0000 0.0000 0.8280  3 Dy 3.08
Te 0.3333 0.6667 0.5573  6 Dy 3.09
Te 0.3333 0.6667 0.9427  6 Dy 3.09
Te 0.6667 0.3333 0.0573  6 Dy 3.09
Te 0.6667 0.3333 0.4427  6 Dy 3.09

- Formation energy without anion corrections: -1164 meV per atom
- Total magnetization: 0.00 μB per formula unit
- Density of states at the Fermi level: 0.459 states/eV per atom